DFT (PBE) results for an optimized crystal structure of La6DyCd.

As for the energy above the most stable polymorph in this dataset: 409.6 meV/atom. The calculation puts the total DFT energy (no corrections) at -4.03 eV/atom.

It has space group P-1 (No. 2), with a = 6.624 Å, b = 6.632 Å, c = 9.294 Å, α = 110.46°, β = 90.49° and γ = 119.75°. The inequivalent atoms are La at (0.043, 0.477, 0.281), La at (0.188, 0.148, 0.716), La at (0.441, 0.247, 0.282), Dy at (0.500, 0.000, 0.500) and Cd at (0.000, 0.000, 0.000).

---

DFT (PBE) results for an optimized crystal structure of Tl3H4Se2.

The calculation puts the total DFT energy (no corrections) at -2.98 eV/atom.

It has space group P-1 (No. 2), with a = 4.356 Å, b = 6.736 Å, c = 6.861 Å, α = 80.07°, β = 71.86° and γ = 77.33°. The inequivalent atoms are Tl at (0.000, 0.000, 0.000), Tl at (0.264, 0.267, 0.401), H at (0.197, 0.875, 0.737), H at (0.238, 0.442, 0.950) and Se at (0.486, 0.310, 0.798).

---

DFT (PBE) results for an optimized crystal structure of Ac2Zn4In3Pd.

The calculation puts the total DFT energy (no corrections) at -3.06 eV/atom.

It has space group P-4m2 (No. 115), with a = 4.701 Å, b = 4.701 Å, c = 10.669 Å, α = 90.00°, β = 90.00° and γ = 90.00°. The inequivalent atoms are Ac at (0.000, 0.500, 0.246), Zn at (0.000, 0.000, 0.500), Zn at (0.000, 0.500, 0.883), Zn at (0.500, 0.500, 0.500), In at (0.000, 0.000, 0.000), In at (0.000, 0.500, 0.633) and Pd at (0.500, 0.500, 0.000).

---

DFT (PBE) results for an optimized crystal structure of K2ScRh.

As for the energy above the most stable polymorph in this dataset: 834.1 meV/atom. The calculation puts the total DFT energy (no corrections) at -3.17 eV/atom.

It has space group P4/mmm (No. 123), with a = 3.093 Å, b = 3.093 Å, c = 12.021 Å, α = 90.00°, β = 90.00° and γ = 90.00°. The inequivalent atoms are K at (0.000, 0.000, 0.201), Sc at (0.500, 0.500, 0.500) and Rh at (0.500, 0.500, 0.000).

---

DFT (PBE) results for an optimized crystal structure of Pm6ScHg5.

The calculation puts the total DFT energy (no corrections) at -3.39 eV/atom.

It has space group P2/m (No. 10), with a = 5.330 Å, b = 7.704 Å, c = 8.580 Å, α = 90.00°, β = 108.02° and γ = 90.00°. The inequivalent atoms are Pm at (0.000, 0.235, 0.000), Pm at (0.330, 0.254, 0.658), Sc at (0.500, 0.500, 0.000), Hg at (0.149, 0.500, 0.300), Hg at (0.166, 0.000, 0.333) and Hg at (0.500, 0.000, 0.000).

---

DFT (PBE) results for an optimized crystal structure of Sr4LiAc3Te8.

The calculation puts the total DFT energy (no corrections) at -4.45 eV/atom. As for the energy relative to the elements, uncorrected: -1.57 eV/atom.

It has space group R-3m (No. 166, hexagonal axes), with a = 9.4025 Å, b = 9.4025 Å, c = 23.1942 Å, α = 90.00°, β = 90.00° and γ = 120.00°. The inequivalent atoms are Sr at (0.0000, 0.0000, 0.0000), Sr at (0.0000, 0.5000, 0.0000), Li at (0.0000, 0.0000, 0.5000), Ac at (0.0000, 0.5000, 0.5000), Te at (0.0000, 0.0000, 0.2512) and Te at (0.0071, 0.5036, 0.2486).

---

DFT (PBE) results for an optimized crystal structure of ZnRhCl.

As for the energy above the most stable polymorph in this dataset: 0.0 meV/atom. The calculation puts the total DFT energy (no corrections) at -3.54 eV/atom. As for the energy relative to the elements, uncorrected: -0.05 eV/atom.

It has space group P3m1 (No. 156), with a = 3.1539 Å, b = 3.1539 Å, c = 5.6798 Å, α = 90.00°, β = 90.00° and γ = 120.00°. The inequivalent atoms are Zn at (0.0000, 0.0000, 0.0000), Rh at (0.3333, 0.6667, 0.6832) and Cl at (0.6667, 0.3333, 0.3371).

---

DFT (PBE) results for an optimized crystal structure of Li2FeAu.

The calculation puts the total DFT energy (no corrections) at -3.92 eV/atom.

It has space group P4/mmm (No. 123), with a = 3.772 Å, b = 3.772 Å, c = 4.057 Å, α = 90.00°, β = 90.00° and γ = 90.00°. The inequivalent atoms are Li at (0.000, 0.500, 0.000), Fe at (0.000, 0.000, 0.500) and Au at (0.500, 0.500, 0.500).

---

DFT (PBE) results for an optimized crystal structure of AlPF.

As for the energy above the most stable polymorph in this dataset: 0.0 meV/atom. The calculation puts the total DFT energy (no corrections) at -5.32 eV/atom. As for the energy relative to the elements, uncorrected: -1.65 eV/atom.

It has space group P-1 (No. 2), with a = 3.884 Å, b = 5.063 Å, c = 5.517 Å, α = 100.36°, β = 92.10° and γ = 109.33°. The inequivalent atoms are Al at (0.080, 0.319, 0.249), P at (0.448, 0.781, 0.531), F at (0.000, 0.000, 0.000) and F at (0.000, 0.500, 0.000).

---

DFT (PBE) results for an optimized crystal structure of LiTmSnRu.

As for the energy above the most stable polymorph in this dataset: 95.2 meV/atom. The calculation puts the total DFT energy (no corrections) at -5.26 eV/atom.

It has space group Cm (No. 8), with a = 9.916 Å, b = 3.436 Å, c = 4.659 Å, α = 90.00°, β = 107.11° and γ = 90.00°. The inequivalent atoms are Li at (0.000, 0.000, 0.000), Tm at (0.234, 0.000, 0.776), Sn at (0.466, 0.000, 0.428) and Ru at (0.237, 0.500, 0.284).

---

DFT (PBE) results for an optimized crystal structure of HoLuCdOs.

The calculation puts the total DFT energy (no corrections) at -5.57 eV/atom.

It has space group F-43m (No. 216), with a = 7.004 Å, b = 7.004 Å, c = 7.004 Å, α = 90.00°, β = 90.00° and γ = 90.00°. The inequivalent atoms are Ho at (0.000, 0.000, 0.000), Lu at (0.000, 0.000, 0.500), Cd at (0.250, 0.250, 0.250) and Os at (0.250, 0.250, 0.750).

---

DFT (PBE) results for an optimized crystal structure of Rb2NpPd2O6.

The calculation puts the total DFT energy (no corrections) at -6.57 eV/atom. As for the energy relative to the elements, uncorrected: -1.57 eV/atom.

It has space group C2/m (No. 12), with a = 6.377 Å, b = 9.255 Å, c = 7.355 Å, α = 90.00°, β = 115.38° and γ = 90.00°. The inequivalent atoms are Rb at (0.000, 0.184, 0.000), Np at (0.000, 0.000, 0.500), Pd at (0.000, 0.334, 0.500), O at (0.164, 0.160, 0.692) and O at (0.224, 0.500, 0.653).